(1)
Material: La2NiBPt6
Method: DFT, PBE-GGA
State: relaxed

```
La2NiBPt6
1.0
2.862 1.652 6.504
-2.862 1.652 6.504
0.000 -3.304 6.504
La Ni B Pt
2 1 1 6
direct
0.212 0.212 0.212
0.788 0.788 0.788
0.500 0.500 0.500
0.000 0.000 0.000
0.237 0.237 0.715
0.237 0.715 0.237
0.285 0.763 0.763
0.715 0.237 0.237
0.763 0.285 0.763
0.763 0.763 0.285
```

Computed properties:
- formation energy (eV/atom) = -0.8008
- magnetization (μB/f.u.) = 0.00
- mass density (g cm⁻³) = 13.66
- calculated volume (Å³ per cell) = 184

---

(2)
Material: LaNiBRh2
Method: DFT, PBE-GGA
State: relaxed

```
LaNiBRh2
1.0
4.291 0.000 0.000
0.000 4.291 0.000
0.000 0.000 4.110
La Ni B Rh
1 1 1 2
direct
0.000 0.000 0.000
0.500 0.500 0.000
0.500 0.500 0.500
0.000 0.500 0.500
0.500 0.000 0.500
```

Computed properties:
- formation energy (eV/atom) = -0.6135
- magnetization (μB/f.u.) = 0.00
- mass density (g cm⁻³) = 9.09
- calculated volume (Å³ per cell) = 76

---

(3)
Material: LaNiBRu2
Method: DFT, PBE-GGA
State: relaxed

```
LaNiBRu2
1.0
4.292 0.000 0.000
0.000 4.292 0.000
0.000 0.000 4.077
La Ni B Ru
1 1 1 2
direct
0.000 0.000 0.000
0.500 0.500 0.000
0.500 0.500 0.500
0.000 0.500 0.500
0.500 0.000 0.500
```

Computed properties:
- formation energy (eV/atom) = -0.2433
- magnetization (μB/f.u.) = 0.19
- mass density (g cm⁻³) = 9.08
- calculated volume (Å³ per cell) = 75

---

(4)
Material: La2SiNi12B3
Method: DFT, PBE-GGA
State: relaxed

```
La2SiNi12B3
1.0
3.642 2.103 5.466
-3.642 2.103 5.466
0.000 -4.205 5.466
La Si Ni B
2 1 12 3
direct
0.112 0.112 0.112
0.888 0.888 0.888
0.500 0.500 0.500
0.130 0.609 0.609
0.187 0.187 0.579
0.187 0.579 0.187
0.391 0.391 0.870
0.391 0.870 0.391
0.421 0.813 0.813
0.579 0.187 0.187
0.609 0.130 0.609
0.609 0.609 0.130
0.813 0.421 0.813
0.813 0.813 0.421
0.870 0.391 0.391
0.000 0.500 0.500
0.500 0.000 0.500
0.500 0.500 0.000
```

Computed properties:
- energy relative to the elements, uncorrected (kJ per mole of atoms) = -15.4
- magnetization (μB/f.u.) = 0.00
- mass density (g cm⁻³) = 6.89
- calculated volume (Å³ per cell) = 251

---

(5)
Material: La2Ni12SnB3
Method: DFT, PBE-GGA
State: relaxed

```
La2Ni12SnB3
1.0
3.507 2.025 5.903
-3.507 2.025 5.903
0.000 -4.049 5.903
La Ni Sn B
2 12 1 3
direct
0.097 0.097 0.097
0.903 0.903 0.903
0.027 0.645 0.645
0.229 0.229 0.618
0.229 0.618 0.229
0.355 0.355 0.973
0.355 0.973 0.355
0.382 0.771 0.771
0.618 0.229 0.229
0.645 0.027 0.645
0.645 0.645 0.027
0.771 0.382 0.771
0.771 0.771 0.382
0.973 0.355 0.355
0.500 0.500 0.500
0.000 0.500 0.500
0.500 0.000 0.500
0.500 0.500 0.000
```

Computed properties:
- formation energy (eV/atom) = -0.0878
- magnetization (μB/f.u.) = 0.00
- mass density (g cm⁻³) = 7.48
- calculated volume (Å³ per cell) = 251

---

(6)
Material: LaNi2BW
Method: DFT, PBE-GGA
State: relaxed

```
LaNi2BW
1.0
4.624 0.000 0.000
0.000 4.624 0.000
0.000 0.000 4.305
La Ni B W
1 2 1 1
direct
0.000 0.000 0.000
0.000 0.500 0.500
0.500 0.000 0.500
0.500 0.500 0.000
0.500 0.500 0.500
```

Computed properties:
- formation energy (eV/atom) = 0.4553
- magnetization (μB/f.u.) = 0.00
- mass density (g cm⁻³) = 8.13
- calculated volume (Å³ per cell) = 92
- polymorph energy (0 for the lowest one) (meV per atom) = 0

---

Repeat the sixth record exactly.
Material: LaNi2BW
Method: DFT, PBE-GGA
State: relaxed

```
LaNi2BW
1.0
4.624 0.000 0.000
0.000 4.624 0.000
0.000 0.000 4.305
La Ni B W
1 2 1 1
direct
0.000 0.000 0.000
0.000 0.500 0.500
0.500 0.000 0.500
0.500 0.500 0.000
0.500 0.500 0.500
```

Computed properties:
- formation energy (eV/atom) = 0.4553
- magnetization (μB/f.u.) = 0.00
- mass density (g cm⁻³) = 8.13
- calculated volume (Å³ per cell) = 92
- polymorph energy (0 for the lowest one) (meV per atom) = 0